[1]
Here is crystalline U3Fe2C5 at its relaxed geometry from the Open Quantum Materials Database. Energies are from GGA-PBE.

Geometry as extended XYZ:
```
10
Lattice="-1.747 1.747 9.715 1.747 -1.747 9.715 1.747 1.747 -9.715" Properties=species:S:1:pos:R:3 pbc="T T T"
U 0.000 0.000 0.000
U 0.000 0.000 7.148
U 0.000 0.000 12.281
Fe 1.747 0.000 4.857
Fe 0.000 1.747 4.857
C 0.000 0.000 2.298
C 0.000 0.000 3.779
C 0.000 0.000 9.715
C 0.000 0.000 15.650
C 0.000 0.000 17.131
```

Computed properties:
- total energy (eV/atom) = -9.793
- space group = I4/mmm (139)

=====

[2]
Here is crystalline FeW2C at its relaxed geometry from the Open Quantum Materials Database. Energies are from GGA-PBE.

Geometry as extended XYZ:
```
8
Lattice="2.990 0.000 0.000 -1.495 2.589 0.000 0.000 0.000 12.891" Properties=species:S:1:pos:R:3 pbc="T T T"
Fe 0.000 1.726 3.223
Fe 1.495 0.863 9.668
W 0.000 1.726 7.671
W 0.000 1.726 11.665
W 1.495 0.863 1.226
W 1.495 0.863 5.220
C 0.000 0.000 0.000
C 0.000 0.000 6.446
```

Computed properties:
- total energy (eV/atom) = -10.641
- space group = P6_3/mmc (194)

=====

[3]
Here is crystalline Fe3W10C3 at its relaxed geometry from the Open Quantum Materials Database. Energies are from GGA-PBE.

Geometry as extended XYZ:
```
32
Lattice="7.851 0.000 0.000 -3.925 6.799 0.000 0.000 0.000 8.075" Properties=species:S:1:pos:R:3 pbc="T T T"
Fe -1.401 3.724 2.019
Fe 1.401 3.724 2.019
Fe 0.000 6.151 2.019
Fe 3.925 0.648 6.056
Fe 2.524 3.075 6.056
Fe 5.327 3.075 6.056
W 0.000 0.000 0.000
W 0.000 0.000 4.038
W 0.000 1.655 2.019
W -2.492 5.971 2.019
W 0.000 2.858 4.586
W 0.000 2.858 7.527
W -1.450 5.370 4.586
W -1.450 5.370 7.527
W 1.434 0.828 6.056
W 2.475 1.429 0.548
W 2.475 1.429 3.489
W 1.450 5.370 4.586
W 1.450 5.370 7.527
W 2.492 5.971 2.019
W 5.375 1.429 0.548
W 5.375 1.429 3.489
W 3.925 3.941 0.548
W 3.925 3.941 3.489
W 6.417 0.828 6.056
W 3.925 5.143 6.056
C -1.963 3.399 0.000
C -1.963 3.399 4.038
C 3.925 0.000 0.000
C 3.925 0.000 4.038
C 1.963 3.399 0.000
C 1.963 3.399 4.038
```

Computed properties:
- total energy (eV/atom) = -11.184
- space group = P6_3/mmc (194)

=====

[4]
Here is crystalline Fe3W3C at its relaxed geometry from the Open Quantum Materials Database. Energies are from GGA-PBE.

Geometry as extended XYZ:
```
28
Lattice="0.000 5.530 5.530 5.530 0.000 5.530 5.530 5.530 0.000" Properties=species:S:1:pos:R:3 pbc="T T T"
Fe 0.000 0.000 0.000
Fe 2.765 2.765 0.000
Fe 2.765 0.000 2.765
Fe 8.824 5.001 5.001
Fe 2.236 2.236 2.236
Fe 6.059 6.059 2.236
Fe 6.059 2.236 6.059
Fe 0.000 2.765 2.765
Fe 5.001 8.824 5.001
Fe 5.001 5.001 8.824
Fe 8.824 8.824 8.824
Fe 2.236 6.059 6.059
W 4.147 4.147 1.913
W 4.147 1.913 4.147
W 6.382 4.147 4.147
W 6.912 6.912 4.678
W 6.912 4.678 6.912
W 9.147 6.912 6.912
W 1.913 4.147 4.147
W 4.147 6.382 4.147
W 4.147 4.147 6.382
W 4.678 6.912 6.912
W 6.912 9.147 6.912
W 6.912 6.912 9.147
C 5.530 2.765 2.765
C 2.765 5.530 2.765
C 2.765 2.765 5.530
C 5.530 5.530 5.530
```

Computed properties:
- total energy (eV/atom) = -10.462
- space group = Fd-3m (227)